Entry 1:
Computed, not measured: a geometry-optimized TiOF5 structure at the PBE level of DFT.

```
TiOF5
1.0
2.5410 6.9630 0.1035
-2.5410 6.9630 0.1035
0.0000 4.6080 11.9493
F O Ti
20 4 4
Direct
0.7096 0.9267 0.5680 F
0.5368 0.9698 0.7864 F
0.1956 0.7000 0.5811 F
0.9267 0.7096 0.0680 F
0.4632 0.0302 0.2136 F
0.8032 0.2803 0.8372 F
0.8044 0.3000 0.4189 F
0.2786 0.9544 0.6925 F
0.7000 0.1956 0.0811 F
0.9544 0.2786 0.1925 F
0.3000 0.8044 0.9189 F
0.7197 0.1968 0.6628 F
0.7214 0.0456 0.3075 F
0.0733 0.2904 0.9320 F
0.0302 0.4632 0.7136 F
0.2904 0.0733 0.4320 F
0.9698 0.5368 0.2864 F
0.2803 0.8032 0.3372 F
0.1968 0.7197 0.1628 F
0.0456 0.7214 0.8075 F
0.4576 0.7406 0.5488 O
0.2594 0.5424 0.9512 O
0.7406 0.4576 0.0488 O
0.5424 0.2594 0.4512 O
0.1275 0.1460 0.3113 Ti
0.8725 0.8540 0.6887 Ti
0.1460 0.1275 0.8113 Ti
0.8540 0.8725 0.1887 Ti
```

Formation energy without anion corrections: -1393 kJ/mol of formula units
E: -146.57 eV per cell

=====

Entry 2:
Computed, not measured: a geometry-optimized CeMgNi2H8 structure at the PBE level of DFT.

```
CeMgNi2H8
1.0
4.5893 0.0000 0.0000
2.2947 3.9745 0.0000
2.2947 1.3248 5.6542
H Ni Mg Ce
8 2 1 1
Direct
0.1808 0.1808 0.4575 H
0.3156 0.9108 0.1806 H
0.4070 0.6844 0.8194 H
0.0892 0.4070 0.8194 H
0.9108 0.5930 0.1806 H
0.8192 0.8192 0.5425 H
0.5930 0.3156 0.1806 H
0.6844 0.0892 0.8194 H
0.7279 0.7279 0.8162 Ni
0.2721 0.2721 0.1838 Ni
0.0000 0.0000 0.0000 Mg
0.5000 0.5000 0.5000 Ce
```

E: -47.71 eV per cell